1.
{
  "formula": "YInAg",
  "functional": "PBE",
  "state": "relaxed",
  "delta_e_f_ev_per_atom": -0.21,
  "n_ef_per_ev_fu": 2.30,
  "total_energy_ev_per_atom": -4.2271,
  "cell": [[-1.6498, 1.1761, -5.0266], [-0.6471, -4.2248, -3.3323], [-1.6104, 2.1238, 4.7189]],
  "species": ["Ag", "In", "Y"],
  "fractional_positions": [[0.0020, 0.0020, 0.0000], [0.3307, 0.3307, 0.0000], [0.6673, 0.6673, 0.0000]]
}

2.
{
  "formula": "DyNiBIr2",
  "functional": "PBE",
  "state": "relaxed",
  "delta_e_f_ev_per_atom": -0.63,
  "n_ef_per_ev_fu": 0.71,
  "total_energy_ev_per_atom": -7.5891,
  "cell": [[-1.2248, 3.0147, -2.4738], [-3.8573, -1.6677, -0.1226], [-1.0997, 2.2977, 3.3446]],
  "species": ["Dy", "Ni", "B", "Ir", "Ir"],
  "fractional_positions": [[0.5000, 0.5000, 0.5000], [0.5000, 0.0000, 0.0000], [0.0000, 0.0000, 0.0000], [0.0000, 0.0000, 0.5000], [0.0000, 0.5000, 0.0000]]
}

3.
{
  "formula": "Rb3TiBr6",
  "functional": "PBE",
  "state": "relaxed",
  "n_ef_per_ev_fu": 19.60,
  "e_form_raw_ev_per_atom": -1.49,
  "total_energy_ev_per_atom": -3.5717,
  "cell": [[8.2393, 0.0000, 0.0000], [0.0000, 8.2393, 0.0000], [4.1197, 4.1197, 5.8257]],
  "species": ["Br", "Br", "Br", "Br", "Br", "Br", "Rb", "Rb", "Rb", "Ti"],
  "fractional_positions": [[0.2777, 0.2777, 0.4446], [0.7223, 0.7223, 0.5554], [0.2777, 0.2777, 0.0000], [0.7223, 0.7223, 0.0000], [0.7223, 0.2777, 0.0000], [0.2777, 0.7223, 0.0000], [0.7500, 0.2500, 0.5000], [0.2500, 0.7500, 0.5000], [0.0000, 0.0000, 0.0000], [0.5000, 0.5000, 0.0000]]
}

4.
{
  "formula": "MgTa2Ni",
  "functional": "PBE",
  "state": "relaxed",
  "delta_e_f_ev_per_atom": 0.20,
  "n_ef_per_ev_fu": 4.33,
  "total_energy_ev_per_atom": -7.5681,
  "cell": [[-2.0003, -4.4283, 1.6325], [3.0787, -4.0722, -0.4634], [0.4668, 4.7243, 1.9338]],
  "species": ["Mg", "Ni", "Ta", "Ta"],
  "fractional_positions": [[0.2500, 0.7500, 0.5000], [0.7500, 0.2500, 0.5000], [0.0000, 0.0000, 0.0000], [0.5000, 0.5000, 0.0000]]
}

5.
{
  "formula": "BeAlSb2",
  "functional": "PBE",
  "state": "relaxed",
  "n_ef_per_ev_fu": 2.15,
  "e_form_raw_ev_per_atom": 0.08,
  "total_energy_ev_per_atom": -3.8465,
  "cell": [[-5.3922, -0.9278, 2.4593], [-1.8654, -2.6035, -5.0722], [-1.8389, -6.9115, 0.6766]],
  "species": ["Sb", "Sb", "Sb", "Sb", "Al", "Al", "Be", "Be"],
  "fractional_positions": [[0.5904, 0.1250, 0.2500], [0.1596, 0.6250, 0.2500], [0.3750, 0.4096, 0.7500], [0.8750, 0.8404, 0.7500], [0.0000, 0.0000, 0.0000], [0.7500, 0.2500, 0.5000], [0.5000, 0.5000, 0.0000], [0.2500, 0.7500, 0.5000]]
}

6.
{
  "formula": "LiThTlRh",
  "functional": "PBE",
  "state": "relaxed",
  "delta_e_f_ev_per_atom": -0.37,
  "n_ef_per_ev_fu": 5.73,
  "total_energy_ev_per_atom": -5.1346,
  "cell": [[-1.5070, 4.1683, -2.0561], [-3.9095, 0.0046, -2.9307], [-4.1609, 2.0898, 1.4809]],
  "species": ["Tl", "Rh", "Th", "Li"],
  "fractional_positions": [[0.2500, 0.2500, 0.2500], [0.5000, 0.5000, 0.5000], [0.7500, 0.7500, 0.7500], [0.0000, 0.0000, 0.0000]]
}

7.
{
  "formula": "PrDy2Sc4",
  "functional": "PBE",
  "state": "relaxed",
  "delta_e_f_ev_per_atom": 0.09,
  "n_ef_per_ev_fu": 11.53,
  "total_energy_ev_per_atom": -5.5299,
  "cell": [[-4.2963, 3.2087, -8.0368], [-4.3937, -6.8316, 2.0794], [-0.4962, 3.1401, 5.3915]],
  "species": ["Pr", "Pr", "Dy", "Dy", "Dy", "Dy", "Sc", "Sc", "Sc", "Sc", "Sc", "Sc", "Sc", "Sc"],
  "fractional_positions": [[0.2144, 0.8049, 0.3903], [0.0559, 0.9658, 0.8437], [0.6708, 0.6310, 0.5494], [0.0817, 0.1819, 0.3709], [0.8805, 0.4198, 0.9663], [0.4317, 0.8315, 0.1070], [0.6632, 0.9957, 0.8329], [0.3908, 0.5441, 0.6698], [0.4677, 0.2177, 0.4499], [0.7938, 0.1405, 0.4787], [0.0018, 0.5363, 0.5763], [0.7863, 0.7517, 0.1764], [0.2461, 0.4136, 0.0408], [0.5653, 0.3154, 0.0477]]
}

8.
{
  "formula": "Ta2MnTc",
  "functional": "PBE",
  "state": "relaxed",
  "delta_e_f_ev_per_atom": -0.01,
  "n_ef_per_ev_fu": 4.41,
  "total_energy_ev_per_atom": -10.8246,
  "cell": [[-2.8602, -2.3525, -2.4524], [-3.4253, -2.0545, 1.9432], [-4.1349, 1.4937, -0.6328]],
  "species": ["Mn", "Ta", "Ta", "Tc"],
  "fractional_positions": [[0.5000, 0.5000, 0.5000], [0.0000, 0.0000, 0.0000], [0.2500, 0.2500, 0.2500], [0.7500, 0.7500, 0.7500]]
}